No. 1
Here is an optimized crystal structure of TbPr8Er2 from the Alexandria database. Energies are from PBE.

- formation energy (eV per atom) = 0.17
- volume (Å³ per cell) = 774.5

abc: 17.0461 6.8558 6.7322
angles: 90.00 100.13 90.00
Space group C2/m (No. 12)
One atom of each set of equivalent atoms:
Tb  0.0000  0.0000  0.0000
Pr  0.0865  0.2606  0.4062
Pr  0.0966  0.5000  0.9178
Pr  0.2451  0.0000  0.3237
Er  0.1953  0.0000  0.8101



No. 2
Here is an optimized crystal structure of Sr2Pr2Cd3 from the Alexandria database. Energies are from PBE.

- formation energy (eV per atom) = -0.22
- volume (Å³ per cell) = 487.8

abc: 9.5100 5.4965 9.8513
angles: 90.00 108.70 90.00
Space group C2/m (No. 12)
One atom of each set of equivalent atoms:
Sr  0.1256  0.0000  0.3772
Pr  0.1252  0.5000  0.8754
Cd  0.0000  0.0000  0.0000
Cd  0.2428  0.5000  0.2282



- The highest volume belongs to which entry?
  TbPr8Er2



- What is the formation energy in the second record?
  -0.22 eV per atom



- Look up the formation energy of the first one.
  0.17 eV per atom